Record 1
A plane-wave DFT calculation with PBE was carried out for an optimized crystal structure of KFe2Au2.

a = 3.575 Å, b = 3.575 Å, c = 17.158 Å
α = 90.00°, β = 90.00°, γ = 90.00°
Space group I4/mmm (No. 139)
Inequivalent atoms, fractional coordinates:
K 0.000 0.000 0.000
Fe 0.000 0.500 0.250
Au 0.000 0.000 0.365

E above lowest polymorph: 0.059 eV/atom
DOS(E_F): 0.7348 states/eV per atom

Record 2
A plane-wave DFT calculation with PBE was carried out for an optimized crystal structure of KFeAu.

a = 3.575 Å, b = 3.575 Å, c = 12.082 Å
α = 90.00°, β = 90.00°, γ = 90.00°
Space group I4mm (No. 107)
Inequivalent atoms, fractional coordinates:
K 0.000 0.000 0.000
Fe 0.000 0.000 0.266
Au 0.000 0.000 0.723

E above lowest polymorph: 0.018 eV/atom
DOS(E_F): 1.3160 states/eV per atom

Record 3
A plane-wave DFT calculation with PBE was carried out for an optimized crystal structure of K2FeAu.

a = 4.480 Å, b = 5.665 Å, c = 10.253 Å
α = 90.00°, β = 90.00°, γ = 90.00°
Space group Imm2 (No. 44)
Inequivalent atoms, fractional coordinates:
K 0.000 0.000 0.000
K 0.000 0.500 0.200
Fe 0.000 0.500 0.802
Au 0.000 0.000 0.413

E above lowest polymorph: 0.150 eV/atom
DOS(E_F): 1.5027 states/eV per atom

Record 4
A plane-wave DFT calculation with PBE was carried out for an optimized crystal structure of KFeAu4.

a = 7.950 Å, b = 7.950 Å, c = 7.950 Å
α = 90.00°, β = 90.00°, γ = 90.00°
Space group F-43m (No. 216)
Inequivalent atoms, fractional coordinates:
K 0.000 0.000 0.000
Fe 0.250 0.250 0.250
Au 0.125 0.125 0.625

electronic total energy: -3.56 eV/atom
DOS(E_F): 0.7848 states/eV per atom

Record 5
A plane-wave DFT calculation with PBE was carried out for an optimized crystal structure of KFe3Au.

a = 4.954 Å, b = 4.954 Å, c = 4.954 Å
α = 90.00°, β = 90.00°, γ = 90.00°
Space group Pm-3m (No. 221)
Inequivalent atoms, fractional coordinates:
K 0.000 0.000 0.000
Fe 0.000 0.500 0.500
Au 0.500 0.500 0.500

E above lowest polymorph: 0.000 eV/atom
DOS(E_F): 1.5678 states/eV per atom

Record 6
A plane-wave DFT calculation with PBE was carried out for an optimized crystal structure of KFeAu2.

a = 5.397 Å, b = 5.397 Å, c = 17.123 Å
α = 90.00°, β = 90.00°, γ = 90.00°
Space group I4_1/amd (No. 141, origin choice 2)
Inequivalent atoms, fractional coordinates:
K 0.000 0.250 0.375
Fe 0.000 0.250 0.875
Au 0.000 0.000 0.000

electronic total energy: -3.74 eV/atom
DOS(E_F): 0.7621 states/eV per atom

Record 7
A plane-wave DFT calculation with PBE was carried out for an optimized crystal structure of KFeAu.

a = 2.870 Å, b = 4.291 Å, c = 11.947 Å
α = 90.00°, β = 90.00°, γ = 90.00°
Space group Imm2 (No. 44)
Inequivalent atoms, fractional coordinates:
K 0.000 0.000 0.000
Fe 0.000 0.000 0.267
Au 0.000 0.000 0.724

E above lowest polymorph: 0.000 eV/atom
DOS(E_F): 1.1773 states/eV per atom

Record 8
A plane-wave DFT calculation with PBE was carried out for an optimized crystal structure of KFeAu2.

a = 2.826 Å, b = 5.323 Å, c = 11.224 Å
α = 90.00°, β = 90.00°, γ = 90.00°
Space group Imm2 (No. 44)
Inequivalent atoms, fractional coordinates:
K 0.000 0.000 0.000
Fe 0.000 0.500 0.219
Au 0.000 0.000 0.517
Au 0.000 0.500 0.780

electronic total energy: -3.69 eV/atom
DOS(E_F): 0.9019 states/eV per atom

Record 9
A plane-wave DFT calculation with PBE was carried out for an optimized crystal structure of KFeAu.

a = 6.749 Å, b = 6.749 Å, c = 6.749 Å
α = 90.00°, β = 90.00°, γ = 90.00°
Space group F-43m (No. 216)
Inequivalent atoms, fractional coordinates:
K 0.000 0.000 0.000
Fe 0.250 0.250 0.750
Au 0.000 0.000 0.500

E above lowest polymorph: 0.445 eV/atom
DOS(E_F): 1.4426 states/eV per atom

Record 10
A plane-wave DFT calculation with PBE was carried out for an optimized crystal structure of KFeAu2.

a = 3.203 Å, b = 3.203 Å, c = 8.210 Å
α = 90.00°, β = 90.00°, γ = 90.00°
Space group P4/mmm (No. 123)
Inequivalent atoms, fractional coordinates:
K 0.000 0.000 0.000
Fe 0.000 0.000 0.500
Au 0.500 0.500 0.316

electronic total energy: -3.89 eV/atom
DOS(E_F): 0.9323 states/eV per atom